## AcHoIn (PBE)

Data for AcHoIn after structural relaxation.

Lattice parameters (Å, degrees): 3.9675 5.4406 5.4406 120.00 90.00 90.00
Closest atoms and distances in Å follow each position.
Atoms (fractional coordinates):
In 0.8333 0.6667 0.3333  3 Ho 3.14
Ac 0.3333 0.3333 0.6667  6 Ho 3.72, 6 In 3.72, 2 Ac 3.97
Ho 0.8333 0.0000 0.0000  3 In 3.14

Calculated formation energy: -210 meV per atom
Total energy: -4.018 eV per atom

=====

## BeSb2W (PBE)

Data for BeSb2W after structural relaxation.

Lattice parameters (Å, degrees): 4.7587 4.7587 4.7587 60.00 60.00 60.00
Closest atoms and distances in Å follow each position.
Atoms (fractional coordinates):
W 0.7500 0.7500 0.7500  4 Be 2.91, 4 Sb 2.91
Sb 0.0000 0.0000 0.0000  4 Sb 2.91, 4 W 2.91
Sb 0.2500 0.2500 0.2500  4 Sb 2.91, 4 Be 2.91
Be 0.5000 0.5000 0.5000  4 W 2.91, 4 Sb 2.91

Uncorrected formation energy: 1.11 eV/atom
Total energy: -5.118 eV per atom

=====

## TaIrW2 (PBE)

Data for TaIrW2 after structural relaxation.

Lattice parameters (Å, degrees): 4.5114 4.5114 4.5114 60.00 60.00 60.00
Closest atoms and distances in Å follow each position.
Atoms (fractional coordinates):
W 0.7500 0.7500 0.7500  4 Ta 2.76, 4 Ir 2.76
W 0.2500 0.2500 0.2500  4 Ta 2.76, 4 Ir 2.76
Ta 0.0000 0.0000 0.0000  8 W 2.76
Ir 0.5000 0.5000 0.5000  8 W 2.76

Calculated formation energy: 109 meV per atom
Total energy: -11.546 eV per atom